This record from the Alexandria database describes a geometry-optimized La3PmAs3 structure. The functional is PBE.

Cell lengths 9.1598, 9.1598, 9.1598 Å; angles 90.00, 90.00, 90.00 degrees
With the nearest neighbours (Å) after each atom.
Fractional coordinates of all 28 atoms:
La  0.0665  0.4335  0.5665  6 As 3.04-3.31
La  0.1824  0.1824  0.1824  6 As 3.02-3.36
La  0.1819  0.8181  0.3181  6 As 3.02-3.35
La  0.3181  0.1819  0.8181  6 As 3.02-3.35
La  0.3176  0.8176  0.6824  6 As 3.02-3.36
La  0.4335  0.5665  0.0665  6 As 3.04-3.31
La  0.5665  0.0665  0.4335  6 As 3.04-3.31
La  0.6824  0.3176  0.8176  6 As 3.02-3.36
La  0.6819  0.6819  0.6819  6 As 3.02-3.35
La  0.8181  0.3181  0.1819  6 As 3.02-3.35
La  0.8176  0.6824  0.3176  6 As 3.02-3.36
La  0.9335  0.9335  0.9335  6 As 3.04-3.31
Pm  0.0661  0.5661  0.9339  6 As 2.99-3.34
Pm  0.4339  0.4339  0.4339  6 As 2.99-3.34
Pm  0.5661  0.9339  0.0661  6 As 2.99-3.34
Pm  0.9339  0.0661  0.5661  6 As 2.99-3.34
As  0.0007  0.2526  0.8720  2 Pm 2.99-3.34, 4 La 3.02-3.31
As  0.1280  0.5007  0.2474  2 Pm 2.99-3.34, 4 La 3.02-3.31
As  0.2474  0.1280  0.5007  2 Pm 2.99-3.34, 4 La 3.02-3.31
As  0.2526  0.8720  0.0007  2 Pm 2.99-3.34, 4 La 3.02-3.31
As  0.3720  0.4993  0.7474  2 Pm 2.99-3.34, 4 La 3.02-3.31
As  0.4993  0.7474  0.3720  2 Pm 2.99-3.34, 4 La 3.02-3.31
As  0.5007  0.2474  0.1280  2 Pm 2.99-3.34, 4 La 3.02-3.31
As  0.6280  0.9993  0.7526  2 Pm 2.99-3.34, 4 La 3.02-3.31
As  0.7474  0.3720  0.4993  2 Pm 2.99-3.34, 4 La 3.02-3.31
As  0.7526  0.6280  0.9993  2 Pm 2.99-3.34, 4 La 3.02-3.31
As  0.8720  0.0007  0.2526  2 Pm 2.99-3.34, 4 La 3.02-3.31
As  0.9993  0.7526  0.6280  2 Pm 2.99-3.34, 4 La 3.02-3.31

Values from the calculation:
DFT formation energy, eV per atom: -1.319
D(E_F), states/eV/f.u.: 8.1
Symmetry: P2_13, No. 198
Final energy, eV per cell: -170.9